! PBE Th2InMo, optimized geometry; values from VASP
! **DFT total energy**: -7.083 eV/atom
! **ΔH_f (0 K)**: 0.0195 eV/atom
! **Fermi-level density of states**: 1.61 states/eV/atom
! **Offset from the most stable computed form**: 0 meV/atom
! **Calculated volume**: 26.838 Å³ per atom
&SYSTEM
  ibrav = 0, nat = 4, ntyp = 3
/
ATOMIC_SPECIES
In 114.82 In.upf
Th 232.04 Th.upf
Mo 95.94 Mo.upf
CELL_PARAMETERS angstrom
3.556 0.000 0.000
0.000 3.556 0.000
0.000 0.000 8.488
ATOMIC_POSITIONS angstrom
In 1.778 1.778 4.244
Th 0.000 0.000 1.780
Th 0.000 0.000 6.708
Mo 1.778 1.778 0.000